{
  "formula": "Mg3Sc4Fe",
  "functional": "GGA-PBE",
  "state": "optimized geometry",
  "lattice": [[3.1882, 0.0000, 0.0000], [0.0000, 3.1882, 0.0000], [0.0000, 0.0000, 16.7586]],
  "species": ["Mg", "Mg", "Mg", "Sc", "Sc", "Sc", "Sc", "Fe"],
  "frac_coords": [[0.5000, 0.5000, 0.7693], [0.5000, 0.5000, 0.5000], [0.5000, 0.5000, 0.2307], [0.0000, 0.0000, 0.0884], [0.0000, 0.0000, 0.3641], [0.0000, 0.0000, 0.9116], [0.0000, 0.0000, 0.6359], [0.5000, 0.5000, 0.0000]],
  "crystal_system": "tetragonal",
  "final_energy_ev_per_atom": -4.90,
  "e_form_ev_per_atom": -0.083
}